[1]
The following is a DFT calculation (PBE-GGA) of a geometry-optimized Ca3Si4Ag2 structure.

**Calculated density**: 3.7 g/cm3
**E_form (uncorrected)**: -3.50 eV per formula unit

Unit cell a=4.157 b=6.051 c=8.581 alpha=100.46 beta=90.00 gamma=110.09
Sites, in units of the cell vectors:
Ca  0.664  0.328  0.671
Ca  0.000  0.000  0.000
Ca  0.336  0.672  0.329
Si  0.723  0.446  0.054
Si  0.277  0.554  0.946
Si  0.948  0.896  0.602
Si  0.052  0.104  0.398
Ag  0.613  0.226  0.278
Ag  0.387  0.774  0.722

---

[2]
The following is a DFT calculation (PBE-GGA) of a geometry-optimized CaSi2Ag structure.

**Calculated density**: 4.3 g/cm3
**E_form (uncorrected)**: -0.28 eV per formula unit

Unit cell a=4.360 b=3.229 c=5.593 alpha=90.00 beta=90.00 gamma=90.00
Sites, in units of the cell vectors:
Ag  0.500  0.250  0.250
Ca  0.500  0.750  0.750
Si  0.000  0.249  0.004
Si  0.000  0.251  0.496

---

[3]
The following is a DFT calculation (PBE-GGA) of a geometry-optimized Ca2SiAg structure.

**Calculated density**: 3.3 g/cm3
**E_form (uncorrected)**: -0.33 eV per formula unit

Unit cell a=4.215 b=4.215 c=6.188 alpha=90.00 beta=90.00 gamma=90.00
Sites, in units of the cell vectors:
Ag  0.500  0.500  0.808
Ca  0.000  0.000  0.928
Ca  0.500  0.500  0.328
Si  0.000  0.000  0.435

---

[4]
The following is a DFT calculation (PBE-GGA) of a geometry-optimized CaSiAg2 structure.

**Calculated density**: 5.8 g/cm3
**E_form (uncorrected)**: -0.10 eV per formula unit

Unit cell a=3.372 b=3.372 c=7.203 alpha=90.00 beta=90.00 gamma=90.00
Sites, in units of the cell vectors:
Ag  0.000  0.000  0.974
Ag  0.500  0.500  0.212
Ca  0.000  0.000  0.511
Si  0.500  0.500  0.803

---

[5]
The following is a DFT calculation (PBE-GGA) of a geometry-optimized CaSiAg2 structure.

**Calculated density**: 5.8 g/cm3
**E_form (uncorrected)**: 0.16 eV per formula unit

Unit cell a=5.179 b=5.939 c=3.051 alpha=75.79 beta=88.51 gamma=115.42
Sites, in units of the cell vectors:
Ag  0.000  0.000  0.000
Ag  0.500  0.000  0.500
Ca  0.000  0.500  0.500
Si  0.500  0.500  0.000

---

[6]
The following is a DFT calculation (PBE-GGA) of a geometry-optimized Ca2SiAg structure.

**Calculated density**: 3.3 g/cm3
**E_form (uncorrected)**: 0.10 eV per formula unit

Unit cell a=8.072 b=8.072 c=6.603 alpha=52.32 beta=52.32 gamma=90.00
Sites, in units of the cell vectors:
Ca  0.613  0.125  0.250
Ca  0.137  0.625  0.250
Ca  0.375  0.387  0.750
Ca  0.875  0.863  0.750
Si  0.500  0.500  0.000
Si  0.250  0.750  0.500
Ag  0.000  0.000  0.000
Ag  0.750  0.250  0.500

---

[7]
The following is a DFT calculation (PBE-GGA) of a geometry-optimized Ca3Si2Ag structure.

**Calculated density**: 3.2 g/cm3
**E_form (uncorrected)**: -1.85 eV per formula unit

Unit cell a=8.769 b=9.882 c=7.364 alpha=90.00 beta=111.39 gamma=90.00
Sites, in units of the cell vectors:
Ca  0.200  0.861  0.990
Ca  0.300  0.361  0.510
Ca  0.800  0.139  0.010
Ca  0.700  0.639  0.490
Ca  0.357  0.481  0.118
Ca  0.143  0.981  0.382
Ca  0.643  0.519  0.882
Ca  0.857  0.019  0.618
Ca  0.988  0.644  0.305
Ca  0.512  0.144  0.195
Ca  0.012  0.356  0.695
Ca  0.488  0.856  0.805
Si  0.748  0.887  0.229
Si  0.752  0.387  0.271
Si  0.252  0.113  0.771
Si  0.248  0.613  0.729
Si  0.345  0.667  0.454
Si  0.155  0.167  0.046
Si  0.655  0.333  0.546
Si  0.845  0.833  0.954
Ag  0.493  0.881  0.384
Ag  0.007  0.381  0.116
Ag  0.507  0.119  0.616
Ag  0.993  0.619  0.884

---

[8]
The following is a DFT calculation (PBE-GGA) of a geometry-optimized CaThSiAg structure.

**Calculated density**: 6.9 g/cm3
**E_form (uncorrected)**: -1.05 eV per formula unit

Unit cell a=5.174 b=5.174 c=5.174 alpha=60.00 beta=60.00 gamma=60.00
Sites, in units of the cell vectors:
Ca  0.000  0.000  0.000
Si  0.250  0.250  0.250
Ag  0.750  0.750  0.750
Th  0.500  0.500  0.500